(1)
8
Lattice="-4.180 4.180 3.239 4.180 -4.180 3.239 4.180 4.180 -3.239" Properties=species:S:1:pos:R:3 comment="LaYZr2 | Alexandria | PBE | relaxed" de_polymorph_mev_per_atom=522.5 energy_ev_per_atom=-6.4915 vol_a3_per_fu=113 pbc="T T T"
La 0.000 0.000 0.000
La 0.000 4.180 1.619
Y 4.180 0.000 1.619
Y 0.000 0.000 3.239
Zr 6.270 2.068 -0.810
Zr 2.068 2.090 0.810
Zr -2.090 2.113 2.429
Zr 2.113 2.090 4.049


(2)
5
Lattice="4.909 0.000 0.000 0.000 4.909 0.000 0.000 0.000 4.909" Properties=species:S:1:pos:R:3 comment="ZnSCl3 | Alexandria | PBE | relaxed" de_polymorph_mev_per_atom=0.0 energy_ev_per_atom=-2.1936 raw_formation_energy_ev_per_atom=-0.005 vol_a3_per_fu=118 pbc="T T T"
Zn 0.000 0.000 0.000
S 2.455 2.455 2.455
Cl 0.000 0.000 2.455
Cl 0.000 2.455 0.000
Cl 2.455 0.000 0.000


(3)
5
Lattice="-1.752 1.752 11.223 1.752 -1.752 11.223 1.752 1.752 -11.223" Properties=species:S:1:pos:R:3 comment="Tb2Dy2Cu | Alexandria | PBE | relaxed" energy_ev_per_atom=-4.5868 vol_a3_per_fu=138 pbc="T T T"
Tb 0.000 0.000 4.356
Tb 0.000 0.000 18.090
Dy 0.000 0.000 9.519
Dy 0.000 0.000 12.926
Cu 0.000 0.000 0.000


(4)
5
Lattice="5.798 0.000 0.000 0.000 5.798 0.000 0.000 0.000 5.798" Properties=species:S:1:pos:R:3 comment="Ca3TeW | Alexandria | PBE | relaxed" de_polymorph_mev_per_atom=117.2 energy_ev_per_atom=-3.6854 raw_formation_energy_ev_per_atom=0.735 vol_a3_per_fu=195 pbc="T T T"
Ca 0.000 0.000 2.899
Ca 0.000 2.899 0.000
Ca 2.899 0.000 0.000
Te 0.000 0.000 0.000
W 2.899 2.899 2.899


(5)
13
Lattice="3.206 -7.114 0.000 3.206 7.114 0.000 -3.114 0.000 7.005" Properties=species:S:1:pos:R:3 comment="LaCd11Pb | Alexandria | PBE | relaxed" energy_ev_per_atom=-1.5255 vol_a3_per_fu=320 pbc="T T T"
La 0.000 0.000 0.000
Cd 1.603 3.557 0.000
Cd 0.140 2.548 2.448
Cd 0.200 1.538 5.541
Cd 0.140 -2.548 2.448
Cd 3.098 1.538 1.463
Cd 1.603 -3.557 0.000
Cd 1.649 0.000 3.502
Cd 0.200 -1.538 5.541
Cd 3.157 2.548 4.556
Cd 3.098 -1.538 1.463
Cd 3.157 -2.548 4.556
Pb -1.557 0.000 3.502


(6)
11
Lattice="-1.349 6.342 3.893 1.349 -6.342 3.893 1.349 6.342 -3.893" Properties=species:S:1:pos:R:3 comment="V7Ge2N2 | Alexandria | PBE | relaxed" energy_ev_per_atom=-8.5954 raw_formation_energy_ev_per_atom=-0.439 vol_a3_per_fu=133 pbc="T T T"
V 0.000 0.000 0.000
V 1.349 4.438 -0.310
V 1.349 2.235 1.070
V 0.000 1.904 3.583
V 0.000 4.344 2.295
V 0.000 8.340 2.295
V 0.000 4.107 4.963
Ge 1.349 0.000 2.314
Ge 0.000 0.000 5.252
N 1.349 -3.433 3.544
N 1.349 3.433 3.544